{"formula": "CeZr2Np3P6", "functional": "PBE", "state": "relaxed", "sg": "C2/m (12)", "dft_energy_ev_per_cell": -108.212, "formation_energy_ev_per_atom": -1.158, "dos_ef_per_ev_cell": 27.515, "lattice": [[6.766, -0.001, -0.002], [-3.383, 5.860, -0.002], [-1.130, -1.956, 6.351]], "species": ["Ce", "Zr", "Zr", "Np", "Np", "Np", "P", "P", "P", "P", "P", "P"], "fractional_positions": [[0.000, 0.000, 0.000], [0.332, 0.668, 0.000], [0.668, 0.332, 0.000], [0.162, 0.838, 0.500], [0.838, 0.162, 0.500], [0.500, 0.500, 0.500], [0.917, 0.572, 0.752], [0.735, 0.735, 0.242], [0.083, 0.428, 0.248], [0.572, 0.917, 0.752], [0.265, 0.265, 0.758], [0.428, 0.083, 0.248]]}